1.
# Co2CuSb PBE optimized geometry
# Total moment = 2.2 μB/cell
# Raw formation energy = 1.03 eV/f.u.
# Energy = -5.350 eV per atom
# Symmetry = No. 6
data_Co2CuSb
_symmetry_space_group_name_H-M 'P 1'
_symmetry_Int_Tables_number 1
_cell_length_a 3.0628
_cell_length_b 3.9847
_cell_length_c 4.9283
_cell_angle_alpha 90.00
_cell_angle_beta 107.89
_cell_angle_gamma 90.00
loop_
_symmetry_equiv_pos_as_xyz
'x,y,z'
loop_
_atom_site_label
_atom_site_type_symbol
_atom_site_fract_x
_atom_site_fract_y
_atom_site_fract_z
_atom_site_occupancy
Co1 Co 0.0000 0.0000 0.0000 1
Co2 Co 0.1419 0.5000 0.2863 1
Cu1 Cu 0.7137 0.0000 0.4328 1
Sb1 Sb 0.4121 0.5000 0.8217 1

***

2.
# Tl2SiW PBE optimized geometry
# Total moment = 1.0 μB/cell
# Raw formation energy = 4.30 eV/f.u.
# Energy = -4.703 eV per atom
# Symmetry = No. 119
data_Tl2SiW
_symmetry_space_group_name_H-M 'P 1'
_symmetry_Int_Tables_number 1
_cell_length_a 5.3148
_cell_length_b 5.3148
_cell_length_c 5.3148
_cell_angle_alpha 132.16
_cell_angle_beta 132.16
_cell_angle_gamma 69.97
loop_
_symmetry_equiv_pos_as_xyz
'x,y,z'
loop_
_atom_site_label
_atom_site_type_symbol
_atom_site_fract_x
_atom_site_fract_y
_atom_site_fract_z
_atom_site_occupancy
Tl1 Tl 0.0000 0.0000 0.0000 1
Tl2 Tl 0.7500 0.2500 0.5000 1
Si1 Si 0.5000 0.5000 0.0000 1
W1 W 0.2500 0.7500 0.5000 1